This record from Alexandria via LeMat-Bulk describes an optimized crystal structure of ThAs2. The functional is PBE.

Summary:
Size of the total moment   0.0 Bohr magnetons per cell
Final energy   -19.8 eV per formula unit
Volume   24.199 Å³/atom
Energy relative to the elements   -3.111 eV/f.u.

Cell lengths 4.116, 4.116, 9.053 Å; angles 103.14, 103.14, 90.00 degrees
Fractional positions:
As 0.318 0.318 0.636
As 0.500 0.000 0.000
Th 0.140 0.140 0.280
Th 0.860 0.860 0.720
As 0.000 0.500 0.000
As 0.682 0.682 0.364